HfCdFeB: relaxed, PBE.

Lattice parameters (Å, degrees): 4.384 4.384 4.384 60.00 60.00 60.00
Fractional positions:
Fe (0.750, 0.750, 0.750)
Hf (0.250, 0.250, 0.250)
B (0.000, 0.000, 0.000)
Cd (0.500, 0.500, 0.500)

E above lowest polymorph in eV/f.u.: 0.00
Calculated volume in A^3/atom: 14.90


HfCdFeB: relaxed, PBE.

Lattice parameters (Å, degrees): 4.371 4.371 4.371 60.00 60.00 60.00
Fractional positions:
Fe (0.750, 0.750, 0.750)
Cd (0.250, 0.250, 0.250)
B (0.000, 0.000, 0.000)
Hf (0.500, 0.500, 0.500)

E above lowest polymorph in eV/f.u.: 0.78
Calculated volume in A^3/atom: 14.76


LiCdFeB: relaxed, PBE.

Lattice parameters (Å, degrees): 4.057 4.057 4.057 60.00 60.00 60.00
Fractional positions:
B (0.000, 0.000, 0.000)
Cd (0.250, 0.250, 0.250)
Li (0.500, 0.500, 0.500)
Fe (0.750, 0.750, 0.750)

E above lowest polymorph in eV/f.u.: 0.00
Calculated volume in A^3/atom: 11.81


LiCdFeB: relaxed, PBE.

Lattice parameters (Å, degrees): 4.136 4.136 4.136 60.00 60.00 60.00
Fractional positions:
Fe (0.750, 0.750, 0.750)
Li (0.250, 0.250, 0.250)
Cd (0.500, 0.500, 0.500)
B (0.000, 0.000, 0.000)

E above lowest polymorph in eV/f.u.: 0.27
Calculated volume in A^3/atom: 12.51


MgCdFeB: relaxed, PBE.

Lattice parameters (Å, degrees): 4.300 4.300 4.300 60.00 60.00 60.00
Fractional positions:
Cd (0.500, 0.500, 0.500)
Mg (0.250, 0.250, 0.250)
B (0.000, 0.000, 0.000)
Fe (0.750, 0.750, 0.750)

E above lowest polymorph in eV/f.u.: 0.00
Calculated volume in A^3/atom: 14.05


CdFeBMo: relaxed, PBE.

Lattice parameters (Å, degrees): 4.243 4.243 4.243 60.00 60.00 60.00
Fractional positions:
Cd (0.500, 0.500, 0.500)
Mo (0.250, 0.250, 0.250)
B (0.000, 0.000, 0.000)
Fe (0.750, 0.750, 0.750)

E above lowest polymorph in eV/f.u.: 0.00
Calculated volume in A^3/atom: 13.50


Q: What is the formula in the second record?
A: HfCdFeB


Q: The highest E above lowest polymorph belongs to which entry?
A: number 2